No. 1
First-principles (PBE) data for a relaxed Cs2Rb2Bi crystal, as listed in Alexandria via LeMat-Bulk.

- symmetry = P4/mbm (127)
- raw total energy (eV/cell) = -16.2
- ΔE_f (kJ/mol of formula units) = -55

Unit cell a=9.607 b=9.607 c=7.220 alpha=90.00 beta=90.00 gamma=90.00
Each line ends with the local moment (μB).
Sites, in units of the cell vectors:
Cs1 0.707 0.207 0.500  0.02
Cs2 0.793 0.707 0.500  0.02
Cs3 0.293 0.793 0.500  0.02
Cs4 0.207 0.293 0.500  0.02
Rb1 0.851 0.351 0.000  0.01
Rb2 0.649 0.851 0.000  0.01
Rb3 0.149 0.649 0.000  0.01
Rb4 0.351 0.149 0.000  0.01
Bi1 0.000 0.000 0.000  0.07
Bi2 0.500 0.500 0.000  0.07

=====

No. 2
First-principles (PBE) data for a relaxed Mg2HgRh crystal, as listed in Alexandria via LeMat-Bulk.

- symmetry = R3m (160)
- raw total energy (eV/cell) = -11.6
- ΔE_f (kJ/mol of formula units) = -75

Unit cell a=3.109 b=3.109 c=9.236 alpha=80.31 beta=80.31 gamma=60.00
Sites, in units of the cell vectors:
Mg1 0.072 0.072 0.784
Mg2 0.261 0.261 0.217
Hg1 0.500 0.500 0.499
Rh1 0.666 0.666 0.001

=====

Per-record D(E_F), states/eV per atom: 0.396; 0.460